## FeP2NO (PBE with a Hubbard U)

Data for FeP2NO after structural relaxation.

Results
Its calculated total energy is -22.17 eV per cell. Its space group is P4/mmm, No. 123. The energy relative to the lowest polymorph listed for this composition is 540 meV per atom.

a = 4.354 Å, b = 4.354 Å, c = 3.367 Å
α = 90.00°, β = 90.00°, γ = 90.00°
Fractional coordinates of all 5 atoms:
P 0.500 0.000 0.000
P 0.000 0.500 0.000
O 0.000 0.000 0.500
N 0.500 0.500 0.500
Fe 0.000 0.000 0.000